1.
VASP calculation (PBE) on a relaxed structure of LiCaNdAg.

```
LiCaNdAg
1.0
-2.8319 0.7283 4.4365
-5.3041 -0.2718 -0.1592
-2.5186 -4.1033 2.2478
Li Ca Nd Ag
1 1 1 1
Direct
0.7500 0.7500 0.7500
0.5000 0.5000 0.5000
0.0000 0.0000 0.0000
0.2500 0.2500 0.2500
```

## Properties
- Calculated formation energy: -0.117 eV/atom
- SG: F-43m, No. 216
- E: -3.000 eV per atom

2.
VASP calculation (PBE) on a relaxed structure of PaZnP2.

```
PaZnP2
1.0
3.6401 0.0000 0.0000
0.0000 4.3794 0.0000
0.0000 0.0000 4.3794
P Zn Pa
2 1 1
Direct
0.0000 0.0000 0.5000
0.0000 0.5000 0.0000
0.5000 0.5000 0.5000
0.5000 0.0000 0.0000
```

## Properties
- Calculated formation energy: -0.728 eV/atom
- SG: P4/mmm, No. 123
- E: -6.125 eV per atom

3.
VASP calculation (PBE) on a relaxed structure of ScPaAlMo.

```
ScPaAlMo
1.0
-4.4016 -1.1097 1.4243
-0.6654 -2.2403 4.1440
-1.9680 2.3102 3.6639
Al Mo Pa Sc
1 1 1 1
Direct
0.0000 0.0000 0.0000
0.7500 0.7500 0.7500
0.5000 0.5000 0.5000
0.2500 0.2500 0.2500
```

## Properties
- Calculated formation energy: -0.080 eV/atom
- SG: F-43m, No. 216
- E: -7.680 eV per atom

4.
VASP calculation (PBE) on a relaxed structure of K2AgGeSe.

```
K2AgGeSe
1.0
6.3387 0.0000 0.0000
0.0000 4.7579 0.0000
0.0000 0.0000 6.3387
Se Ge K Ag
1 1 2 1
Direct
0.5000 0.5000 0.5000
0.0000 0.0000 0.0000
0.5000 0.0000 0.0000
0.0000 0.0000 0.5000
0.0000 0.5000 0.0000
```

## Properties
- Formation energy (no corrections): 0.45 eV per formula unit
- SG: P4/mmm, No. 123
- E: -2.539 eV per atom

5.
VASP calculation (PBE) on a relaxed structure of BeAgMoPb2.

```
BeAgMoPb2
1.0
5.5374 0.0000 0.0000
0.0000 4.4713 0.0000
0.0000 0.0000 5.5374
Ag Pb Be Mo
1 2 1 1
Direct
0.0000 0.0000 0.0000
0.0000 0.0000 0.5000
0.5000 0.0000 0.0000
0.0000 0.5000 0.0000
0.5000 0.5000 0.5000
```

## Properties
- Calculated formation energy: 1.292 eV/atom
- SG: P4/mmm, No. 123
- E: -3.673 eV per atom

6.
VASP calculation (PBE) on a relaxed structure of TbGa4Pd2Rh.

```
TbGa4Pd2Rh
1.0
4.2798 0.0000 0.0000
2.1399 3.7064 0.0000
2.1399 1.2355 8.6696
Ga Pd Rh Tb
4 2 1 1
Direct
0.1325 0.1325 0.6025
0.3983 0.3983 0.8050
0.6017 0.6017 0.1950
0.8675 0.8675 0.3975
0.7622 0.7622 0.7134
0.2378 0.2378 0.2866
0.5000 0.5000 0.5000
0.0000 0.0000 0.0000
```

## Properties
- Calculated formation energy: -0.660 eV/atom
- SG: R-3m, No. 166
- E: -4.970 eV per atom

7.
VASP calculation (PBE) on a relaxed structure of Ba8Cu4Hg4O17.

```
Ba8Cu4Hg4O17
1.0
-6.6344 4.6402 3.1174
-2.3874 0.7304 8.3085
3.6202 9.0665 3.8669
Cu O Ba Hg
4 17 8 4
Direct
0.5000 0.0000 0.0000
0.7519 0.2481 0.0000
0.0000 0.5000 0.0000
0.2481 0.7519 0.0000
0.4330 0.9245 0.2909
0.3280 0.8207 0.7092
0.7500 0.7500 0.9996
0.1285 0.6213 0.0005
0.5670 0.0755 0.7091
0.1793 0.6720 0.2908
0.5000 0.5000 0.0000
0.6213 0.1285 0.0005
0.0000 0.0000 0.5000
0.2500 0.2500 0.0004
0.0755 0.5670 0.7091
0.9245 0.4330 0.2909
0.8207 0.3280 0.7092
0.0000 0.0000 0.0000
0.8715 0.3787 0.9995
0.3787 0.8715 0.9995
0.6720 0.1793 0.2908
0.3234 0.3234 0.2075
0.9298 0.9298 0.7805
0.0702 0.0702 0.2195
0.5738 0.5738 0.2042
0.8235 0.8235 0.2046
0.6766 0.6766 0.7925
0.1765 0.1765 0.7954
0.4262 0.4262 0.7958
0.8784 0.3630 0.5001
0.1216 0.6370 0.4999
0.6370 0.1216 0.4999
0.3630 0.8784 0.5001
```

## Properties
- Formation energy (no corrections): -51.10 eV per formula unit
- SG: C2/m, No. 12
- E: -5.102 eV per atom

8.
VASP calculation (PBE) on a relaxed structure of PmPr4Nd15.

```
PmPr4Nd15
1.0
-3.6632 2.5420 -2.7165
0.7544 -3.2256 -4.0357
-18.1613 -16.0721 9.4505
Nd Pr Pm
15 4 1
Direct
0.5000 0.0000 0.5000
0.0000 0.5000 0.2997
0.5000 0.0000 0.2997
0.0000 0.5000 0.5000
0.5000 0.5000 0.3999
0.5000 0.0000 0.9007
0.5000 0.5000 0.0000
0.0000 0.5000 0.0993
0.5000 0.0000 0.0993
0.5000 0.5000 0.1994
0.5000 0.5000 0.6001
0.5000 0.0000 0.7003
0.0000 0.5000 0.9007
0.5000 0.5000 0.8006
0.0000 0.5000 0.7003
0.0000 0.0000 0.8005
0.0000 0.0000 0.3999
0.0000 0.0000 0.6001
0.0000 0.0000 0.1995
0.0000 0.0000 0.0000
```

## Properties
- Calculated formation energy: 0.013 eV/atom
- SG: P4/mmm, No. 123
- E: -4.756 eV per atom

9.
VASP calculation (PBE) on a relaxed structure of InW3Br.

```
InW3Br
1.0
-3.0337 -2.1321 3.3259
-2.7073 -1.9319 -3.7080
2.8771 -4.0660 0.0177
W Br In
3 1 1
Direct
0.5000 0.0000 0.0000
0.0000 0.0000 0.5000
0.0000 0.5000 0.0000
0.5000 0.5000 0.5000
0.0000 0.0000 0.0000
```

## Properties
- Formation energy (no corrections): 16.14 eV per formula unit
- SG: Pm-3m, No. 221
- E: -5.426 eV per atom

10.
VASP calculation (PBE) on a relaxed structure of LaVN3.

```
LaVN3
1.0
3.6765 0.0238 0.0111
-0.3091 3.6636 -0.0111
-0.1127 0.1029 4.8739
N V La
3 1 1
Direct
0.2934 0.0496 0.7803
0.7923 0.0676 0.2587
0.2754 0.5508 0.2587
0.2989 0.0441 0.1367
0.7914 0.5516 0.6298
```

## Properties
- Formation energy (no corrections): -4.59 eV per formula unit
- SG: Cm, No. 8
- E: -8.723 eV per atom

11.
VASP calculation (PBE) on a relaxed structure of Pr2Nd3Er3.

```
Pr2Nd3Er3
1.0
6.1796 1.4045 0.0000
-1.2919 5.6930 0.0000
0.0000 0.0000 14.7158
Pr Nd Er
4 6 6
Direct
0.8291 0.7505 0.6241
0.8291 0.7505 0.8759
0.1709 0.2495 0.1241
0.1709 0.2495 0.3759
0.3330 0.7503 0.7500
0.1650 0.2502 0.6242
0.1650 0.2502 0.8758
0.6670 0.2497 0.2500
0.8350 0.7498 0.3758
0.8350 0.7498 0.1242
0.6649 0.2501 0.9993
0.6628 0.2505 0.7500
0.3351 0.7499 0.4993
0.6649 0.2501 0.5007
0.3351 0.7499 0.0007
0.3372 0.7495 0.2500
```

## Properties
- Calculated formation energy: 0.028 eV/atom
- SG: P2_1/m, No. 11
- E: -4.666 eV per atom

12.
VASP calculation (PBE) on a relaxed structure of CeGeH2Ir.

```
CeGeH2Ir
1.0
4.1317 0.0000 0.0000
-2.0658 5.3126 0.0000
0.0000 0.0000 5.8619
Ge H Ir Ce
2 4 2 2
Direct
0.5801 0.1603 0.2500
0.4199 0.8397 0.7500
0.1578 0.3155 0.9345
0.8422 0.6845 0.0655
0.1578 0.3155 0.5655
0.8422 0.6845 0.4345
0.0000 0.0000 0.0000
0.0000 0.0000 0.5000
0.7087 0.4174 0.7500
0.2913 0.5826 0.2500
```

## Properties
- SG: Cmcm, No. 63
- E: -5.801 eV per atom

13.
VASP calculation (PBE) on a relaxed structure of HfGe3As.

```
HfGe3As
1.0
-0.7515 5.0979 -0.3008
-1.4087 0.0853 4.9651
4.9086 0.8050 1.3789
As Ge Hf
1 3 1
Direct
0.5000 0.5000 0.5000
0.0000 0.0000 0.5000
0.5000 0.0000 0.0000
0.0000 0.5000 0.0000
0.0000 0.0000 0.0000
```

## Properties
- Calculated formation energy: 0.741 eV/atom
- SG: Pm-3m, No. 221
- E: -4.950 eV per atom

14.
VASP calculation (PBE) on a relaxed structure of Tl3Tc4.

```
Tl3Tc4
1.0
-1.5116 1.5116 14.8319
1.5116 -1.5116 14.8319
1.5116 1.5116 -14.8319
Tl Tc
3 4
Direct
0.3018 0.3018 0.0000
0.0000 0.0000 0.0000
0.6982 0.6982 0.0000
0.8777 0.8777 0.0000
0.4251 0.4251 0.0000
0.1223 0.1223 0.0000
0.5749 0.5749 0.0000
```

## Properties
- Calculated formation energy: 0.359 eV/atom
- SG: I4/mmm, No. 139
- E: -6.579 eV per atom

15.
VASP calculation (PBE) on a relaxed structure of Co13Pt3.

```
Co13Pt3
1.0
-3.9254 -2.0325 -2.6734
4.8647 -1.2789 -1.1775
-0.3675 -6.3164 5.3416
Co Pt
13 3
Direct
0.5051 0.4949 0.7441
0.1732 0.8268 0.5000
0.5051 0.4949 0.2559
0.1731 0.3463 0.5000
0.6537 0.8269 0.5000
0.8244 0.1756 0.0000
0.6666 0.3334 0.5000
0.3512 0.1756 0.0000
0.8244 0.6488 0.0000
0.9899 0.4949 0.2559
0.9899 0.4949 0.7441
0.5051 0.0101 0.2559
0.5051 0.0101 0.7441
0.0000 0.0000 0.2499
0.0000 0.0000 0.7501
0.3334 0.6666 0.0000
```

## Properties
- Calculated formation energy: -0.050 eV/atom
- SG: P-6m2, No. 187
- E: -6.957 eV per atom

16.
VASP calculation (PBE) on a relaxed structure of TiCdGeOs2.

```
TiCdGeOs2
1.0
4.8499 0.0000 0.0000
0.0000 4.7531 0.0000
0.0000 0.0000 4.8499
Cd Os Ti Ge
1 2 1 1
Direct
0.0000 0.0000 0.0000
0.0000 0.0000 0.5000
0.5000 0.0000 0.0000
0.0000 0.5000 0.0000
0.5000 0.5000 0.5000
```

## Properties
- Calculated formation energy: 2.291 eV/atom
- SG: P4/mmm, No. 123
- E: -4.886 eV per atom

17.
VASP calculation (PBE) on a relaxed structure of NdVP2Rh5.

```
NdVP2Rh5
1.0
4.0661 0.0000 0.0000
0.0000 4.0661 0.0000
0.0000 0.0000 9.7773
Nd V Rh P
1 1 5 2
Direct
0.5000 0.5000 0.5000
0.0000 0.0000 0.0000
0.0000 0.5000 0.1517
0.5000 0.0000 0.1517
0.0000 0.5000 0.8483
0.0000 0.0000 0.5000
0.5000 0.0000 0.8483
0.0000 0.0000 0.2709
0.0000 0.0000 0.7291
```

## Properties
- Calculated formation energy: -0.409 eV/atom
- SG: P4/mmm, No. 123
- E: -7.238 eV per atom

18.
VASP calculation (PBE) on a relaxed structure of Te4Pt.

```
Te4Pt
1.0
5.3156 0.0000 0.0000
0.0000 5.3156 0.0000
0.0000 0.0000 5.3156
Pt Te
1 4
Direct
0.5000 0.5000 0.5000
0.0000 0.0000 0.0000
0.5000 0.5000 0.0000
0.5000 0.0000 0.5000
0.0000 0.5000 0.5000
```

## Properties
- Formation energy (no corrections): 1.71 eV per formula unit
- SG: Pm-3m, No. 221
- E: -3.379 eV per atom

19.
VASP calculation (PBE) on a relaxed structure of NaSrZnPb.

```
NaSrZnPb
1.0
5.4829 0.0000 0.0000
2.7414 4.7483 0.0000
2.7414 1.5828 4.4768
Zn Na Pb Sr
1 1 1 1
Direct
0.7500 0.7500 0.7500
0.0000 0.0000 0.0000
0.2500 0.2500 0.2500
0.5000 0.5000 0.5000
```

## Properties
- Calculated formation energy: -0.187 eV/atom
- SG: F-43m, No. 216
- E: -2.182 eV per atom

20.
VASP calculation (PBE) on a relaxed structure of CdReSe2.

```
CdReSe2
1.0
3.0138 0.0000 0.0000
0.0000 3.0138 0.0000
0.0000 0.0000 9.2025
Se Cd Re
2 1 1
Direct
0.5000 0.5000 0.2815
0.0000 0.0000 0.9161
0.0000 0.0000 0.5387
0.5000 0.5000 0.7637
```

## Properties
- Formation energy (no corrections): 0.79 eV per formula unit
- SG: P4mm, No. 99
- E: -4.887 eV per atom